Computed, not measured: a relaxed Li2MoSe crystal at the PBE level of DFT.

The calculation puts the total energy at -34.98 eV/cell. The calculated density is 4.4 g/cm3. The value obtained for the volume is 17.9 Å³/atom. The calculation puts the uncorrected formation energy at 0.163 eV per atom. Its total moment is 0.00 μB per formula unit.

The space group is Cmm2 (No. 35) and the conventional cell measures 3.3177, 4.8632 and 8.8693 Å, with angles of 90.00, 90.00 and 90.00 degrees. The inequivalent atoms are Li at (0.0000, 0.0000, 0.0000), Li at (0.0000, 0.5000, 0.2922), Mo at (0.0000, 0.5000, 0.7399) and Se at (0.0000, 0.0000, 0.5238).

***

Computed, not measured: a relaxed PuGaTc2 crystal at the PBE level of DFT.

As for the energy above the most stable polymorph in this dataset: 0.40 eV per formula unit. The calculation puts the total energy at -38.16 eV/cell. The calculated density is 12.7 g/cm3. The value obtained for the volume is 16.6 Å³/atom. The formation energy is -0.02 eV/atom. Its total moment is 2.90 μB per formula unit.

The space group is P4/mmm (No. 123) and the conventional cell measures 3.2892, 3.2892 and 6.1373 Å, with angles of 90.00, 90.00 and 90.00 degrees. The inequivalent atoms are Pu at (0.0000, 0.0000, 0.0000), Ga at (0.0000, 0.0000, 0.5000) and Tc at (0.5000, 0.5000, 0.2625).

***

Computed, not measured: a relaxed BaLiCo2 crystal at the PBE level of DFT.

As for the energy above the most stable polymorph in this dataset: 0.74 eV per formula unit. The calculation puts the total energy at -32.56 eV/cell. The calculated density is 4.6 g/cm3. The value obtained for the volume is 23.4 Å³/atom. The formation energy is 0.44 eV/atom. Its total moment is 2.62 μB per formula unit.

The space group is Amm2 (No. 38) and the conventional cell measures 3.9123, 4.1849 and 11.4578 Å, with angles of 90.00, 90.00 and 90.00 degrees. The inequivalent atoms are Ba at (0.0000, 0.0000, 0.0000), Li at (0.5000, 0.0000, 0.7344), Co at (0.0000, 0.0000, 0.2793) and Co at (0.5000, 0.0000, 0.3664).